Material: FeBN2O
Method: DFT, GGA+U
State: optimized geometry

Computed properties:
Final energy = -6.43 eV per atom
Total moment = 4.295 μB per cell

Lattice parameters (Å, degrees): 2.980 2.980 6.554 90.00 90.00 90.00
Sites, in units of the cell vectors:
B (0.000, 0.000, 0.000)
Fe (0.500, 0.500, 0.500)
O (0.000, 0.000, 0.500)
N (0.000, 0.500, 0.000)
N (0.500, 0.000, 0.000)

Material: FeBN2O
Method: DFT, GGA+U
State: optimized geometry

Computed properties:
Final energy = -4.94 eV per atom
Total moment = 1.012 μB per cell

Lattice parameters (Å, degrees): 3.850 3.850 3.780 90.00 90.00 90.00
Sites, in units of the cell vectors:
B (0.500, 0.500, 0.500)
Fe (0.000, 0.000, 0.000)
O (0.000, 0.000, 0.500)
N (0.000, 0.500, 0.000)
N (0.500, 0.000, 0.000)